First-principles (PBE-GGA) data for crystalline CoSe2Br at its relaxed geometry, as listed in Alexandria via LeMat-Bulk.

Summary:
* total magnetization: 0.00 Bohr magnetons per cell
* space group: C2 (5)
* energy relative to the lowest polymorph listed for this composition: 23 meV per atom
* theoretical density: 5.87 Mg/m³
* ΔE_f (raw): -0.18 eV/atom

The structure in POSCAR format:
```
CoSe2Br
1.0
-4.5426 0.5563 -2.0989
-0.6588 -5.9824 0.0462
-1.9686 3.2822 5.0153
Co Se Br
2 4 2
direct
0.1880 0.0669 0.3310 Co
0.1877 0.3777 0.9528 Co
0.9987 0.6898 0.3229 Se
0.3777 0.4354 0.3221 Se
0.4720 0.0946 0.6373 Se
0.9038 0.3456 0.6377 Se
0.9305 0.0607 0.9935 Br
0.4446 0.7351 0.9923 Br
```